1.
A plane-wave DFT calculation with GGA-PBE was carried out for a geometry-optimized Tl2CuAgCl8 structure. Values from VASP.

Computed properties:
Its raw formation energy is -520 meV per atom. The value obtained for the density of states at the Fermi level is 2.0 states/eV per cell.

Quantum ESPRESSO input file:
```
&SYSTEM
  ibrav = 0, nat = 12, ntyp = 4
/
ATOMIC_SPECIES
Tl 204.38 Tl.upf
Cl 35.45 Cl.upf
Cu 63.55 Cu.upf
Ag 107.87 Ag.upf
CELL_PARAMETERS angstrom
-0.5870 4.5689 6.1925
0.6328 -6.9182 3.3621
5.8924 1.7735 -4.6584
ATOMIC_POSITIONS crystal
Tl 0.5000 0.5000 0.0000
Tl 0.7500 0.2500 0.5000
Cl 0.9268 0.6910 0.2357
Cl 0.4553 0.6910 0.7643
Cl 0.3602 0.0698 0.2904
Cl 0.9302 0.2206 0.2904
Cl 0.3090 0.5447 0.2357
Cl 0.9302 0.6398 0.7096
Cl 0.3090 0.0732 0.7643
Cl 0.7794 0.0698 0.7096
Cu 0.2500 0.7500 0.5000
Ag 0.0000 0.0000 0.0000
```

=====

2.
A plane-wave DFT calculation with GGA-PBE was carried out for a geometry-optimized Th2NbCoN5 structure. Values from VASP.

Computed properties:
Its raw formation energy is -1008 meV per atom. The value obtained for the density of states at the Fermi level is 4.3 states/eV per cell.

Quantum ESPRESSO input file:
```
&SYSTEM
  ibrav = 0, nat = 18, ntyp = 4
/
ATOMIC_SPECIES
N 14.01 N.upf
Co 58.93 Co.upf
Nb 92.91 Nb.upf
Th 232.04 Th.upf
CELL_PARAMETERS angstrom
3.3214 0.0000 0.0000
-1.6607 6.6776 0.0000
0.0000 0.0000 10.4311
ATOMIC_POSITIONS crystal
N 0.9525 0.9049 0.5576
N 0.6770 0.3541 0.8756
N 0.3675 0.7350 0.9987
N 0.5085 0.0170 0.2776
N 0.0475 0.0951 0.0576
N 0.4915 0.9830 0.7776
N 0.6325 0.2650 0.4987
N 0.2862 0.5723 0.6532
N 0.3230 0.6459 0.3756
N 0.7138 0.4277 0.1532
Co 0.4672 0.9343 0.4527
Co 0.5328 0.0657 0.9527
Nb 0.1901 0.3802 0.0122
Nb 0.8099 0.6198 0.5122
Th 0.1393 0.2786 0.3135
Th 0.8920 0.7840 0.1828
Th 0.1080 0.2160 0.6828
Th 0.8607 0.7214 0.8135
```

=====

3.
A plane-wave DFT calculation with GGA-PBE was carried out for a geometry-optimized InRe2Ni structure. Values from VASP.

Computed properties:
As for the formation energy: 754 meV/atom. The value obtained for the density of states at the Fermi level is 4.2 states/eV per cell.

Quantum ESPRESSO input file:
```
&SYSTEM
  ibrav = 0, nat = 4, ntyp = 3
/
ATOMIC_SPECIES
In 114.82 In.upf
Ni 58.69 Ni.upf
Re 186.21 Re.upf
CELL_PARAMETERS angstrom
4.4224 0.0000 0.0000
0.0000 4.4224 0.0000
0.0000 0.0000 3.1212
ATOMIC_POSITIONS crystal
In 0.5000 0.0000 0.5000
Ni 0.0000 0.5000 0.5000
Re 0.0000 0.0000 0.0000
Re 0.5000 0.5000 0.0000
```

=====

4.
A plane-wave DFT calculation with GGA-PBE was carried out for a geometry-optimized Nd3Ag2Ge4 structure. Values from VASP.

Computed properties:
As for the formation energy: -630 meV/atom. The value obtained for the density of states at the Fermi level is 3.9 states/eV per cell.

Quantum ESPRESSO input file:
```
&SYSTEM
  ibrav = 0, nat = 9, ntyp = 3
/
ATOMIC_SPECIES
Ge 72.64 Ge.upf
Nd 144.24 Nd.upf
Ag 107.87 Ag.upf
CELL_PARAMETERS angstrom
-2.8818 1.5355 -3.0650
-1.8324 -5.1849 2.3972
-2.8378 5.8511 5.5995
ATOMIC_POSITIONS crystal
Ge 0.0620 0.1241 0.3948
Ge 0.7145 0.4291 0.0439
Ge 0.9380 0.8759 0.6052
Ge 0.2855 0.5709 0.9561
Nd 0.0000 0.0000 0.0000
Nd 0.3385 0.6770 0.3277
Nd 0.6615 0.3230 0.6723
Ag 0.6169 0.2337 0.2834
Ag 0.3831 0.7663 0.7166
```

=====

5.
A plane-wave DFT calculation with GGA-PBE was carried out for a geometry-optimized Ca2Pd3Pb2 structure. Values from VASP.

Computed properties:
The excess energy over the best structure of this formula in the dataset comes out at 0.0 meV per atom. As for the formation energy: -550 meV/atom. The value obtained for the density of states at the Fermi level is 3.4 states/eV per cell.

Quantum ESPRESSO input file:
```
&SYSTEM
  ibrav = 0, nat = 7, ntyp = 3
/
ATOMIC_SPECIES
Ca 40.08 Ca.upf
Pd 106.42 Pd.upf
Pb 207.20 Pb.upf
CELL_PARAMETERS angstrom
3.9371 0.0000 0.0000
-1.9685 6.1447 -0.0553
0.0000 -2.9064 6.7794
ATOMIC_POSITIONS crystal
Ca 0.1032 0.2064 0.7649
Ca 0.8968 0.7936 0.2351
Pd 0.4026 0.8052 0.5619
Pd 0.5974 0.1948 0.4381
Pd 0.5000 0.0000 0.0000
Pb 0.8263 0.6525 0.7545
Pb 0.1737 0.3475 0.2455
```

=====

6.
A plane-wave DFT calculation with GGA-PBE was carried out for a geometry-optimized MnCoRuPt structure. Values from VASP.

Computed properties:
As for the formation energy: 106 meV/atom. The value obtained for the density of states at the Fermi level is 9.0 states/eV per cell.

Quantum ESPRESSO input file:
```
&SYSTEM
  ibrav = 0, nat = 4, ntyp = 4
/
ATOMIC_SPECIES
Ru 101.07 Ru.upf
Mn 54.94 Mn.upf
Pt 195.08 Pt.upf
Co 58.93 Co.upf
CELL_PARAMETERS angstrom
4.2642 0.0000 0.0000
2.1321 3.6929 0.0000
2.1321 1.2310 3.4817
ATOMIC_POSITIONS crystal
Ru 0.0000 0.0000 0.0000
Mn 0.2500 0.2500 0.2500
Pt 0.5000 0.5000 0.5000
Co 0.7500 0.7500 0.7500
```

=====

7.
A plane-wave DFT calculation with GGA-PBE was carried out for a geometry-optimized NbNi2PdPt structure. Values from VASP.

Computed properties:
As for the formation energy: -200 meV/atom. The value obtained for the density of states at the Fermi level is 6.2 states/eV per cell.

Quantum ESPRESSO input file:
```
&SYSTEM
  ibrav = 0, nat = 10, ntyp = 4
/
ATOMIC_SPECIES
Nb 92.91 Nb.upf
Ni 58.69 Ni.upf
Pt 195.08 Pt.upf
Pd 106.42 Pd.upf
CELL_PARAMETERS angstrom
3.9436 0.0000 0.0000
0.0000 6.3010 0.0390
0.0000 -1.4207 6.1089
ATOMIC_POSITIONS crystal
Nb 0.2500 0.7733 0.8735
Nb 0.7500 0.2267 0.1265
Ni 0.7500 0.5693 0.4398
Ni 0.2500 0.5141 0.1639
Ni 0.7500 0.4859 0.8361
Ni 0.2500 0.4307 0.5602
Pt 0.7500 0.8119 0.1576
Pt 0.2500 0.1881 0.8424
Pd 0.7500 0.1514 0.5158
Pd 0.2500 0.8486 0.4842
```

=====

8.
A plane-wave DFT calculation with GGA-PBE was carried out for a geometry-optimized RbUSe2S structure. Values from VASP.

Computed properties:
Its raw formation energy is -1173 meV per atom. The value obtained for the density of states at the Fermi level is 9.1 states/eV per cell.

Quantum ESPRESSO input file:
```
&SYSTEM
  ibrav = 0, nat = 10, ntyp = 4
/
ATOMIC_SPECIES
Rb 85.47 Rb.upf
U 238.03 U.upf
S 32.06 S.upf
Se 78.96 Se.upf
CELL_PARAMETERS angstrom
-1.4366 0.8235 -3.9047
8.0326 -2.6257 -3.5091
-4.4308 -7.8015 -0.0151
ATOMIC_POSITIONS crystal
Rb 0.7500 0.3069 0.6625
Rb 0.2500 0.6931 0.3375
U 0.7500 0.1477 0.1753
U 0.2500 0.8523 0.8247
S 0.2500 0.5888 0.7309
S 0.7500 0.4112 0.2691
Se 0.7500 0.9018 0.6416
Se 0.2500 0.0982 0.3584
Se 0.7500 0.8369 0.0386
Se 0.2500 0.1631 0.9614
```

=====

Asked for DFT total energy across the records above, the calculation gives -2.724, -9.191, -7.600, -4.905, -4.407, -7.793, -6.774, -5.843 eV/atom in order.